DFT (meta-GGA SCAN) results for Y2TiCoSi at its PBEsol-relaxed geometry.

## Properties
The calculation puts the size of the total moment at 2.58 μB per cell. The value obtained for the uncorrected formation energy is 0.765 eV/atom. The space group is P4/mmm (123).

Unit cell a=4.6716 b=5.0816 c=5.0816 alpha=90.00 beta=90.00 gamma=90.00
Last column: nearest neighbours and their distance in Å.
Sites, in units of the cell vectors:
Y: 0.0000 0.0000 0.5000  2 Ti 2.54
Y: 0.0000 0.5000 0.0000  2 Ti 2.54
Si: 0.5000 0.0000 0.0000  2 Ti 2.34
Co: 0.5000 0.5000 0.5000  8 Y 3.45, 4 Si 3.59
Ti: 0.0000 0.0000 0.0000  2 Si 2.34, 4 Y 2.54

***

DFT (meta-GGA SCAN) results for TlCoSi2 at its PBEsol-relaxed geometry.

## Properties
For the energy above the most stable polymorph in this dataset, the calculation gives 49.08 kJ per mole of atoms. The calculation puts the size of the total moment at 0.00 μB per cell. The value obtained for the uncorrected formation energy is 0.734 eV/atom. The space group is Imm2 (44).

Unit cell a=3.3457 b=4.9248 c=4.9248 alpha=60.27 beta=70.14 gamma=70.14
Last column: nearest neighbours and their distance in Å.
Sites, in units of the cell vectors:
Co: 0.7110 0.7890 0.7890  2 Si 2.23
Si: 0.0222 0.9778 0.9778  2 Co 2.23
Si: 0.2785 0.2215 0.2215  2 Si 2.54, 2 Tl 2.82
Tl: 0.4883 0.5117 0.5117  4 Co 2.74-3.03, 8 Si 2.82-3.00

***

DFT (meta-GGA SCAN) results for TlCoSi2 at its PBEsol-relaxed geometry.

## Properties
For the energy above the most stable polymorph in this dataset, the calculation gives 0.00 kJ per mole of atoms. The calculation puts the size of the total moment at 0.92 μB per cell. The value obtained for the uncorrected formation energy is 0.225 eV/atom. The space group is Cmmm (65).

Unit cell a=2.8790 b=2.8790 c=7.8215 alpha=90.00 beta=90.00 gamma=90.22
Last column: nearest neighbours and their distance in Å.
Sites, in units of the cell vectors:
Co: 0.5000 0.5000 0.0000  8 Si 2.42
Si: 0.0000 0.0000 0.1676  4 Co 2.42, 1 Si 2.62
Si: 0.0000 0.0000 0.8324  4 Co 2.42, 1 Si 2.62
Tl: 0.5000 0.5000 0.5000  4 Tl 2.88

***

DFT (meta-GGA SCAN) results for TlCoSi2 at its PBEsol-relaxed geometry.

## Properties
For the energy above the most stable polymorph in this dataset, the calculation gives 13.03 kJ per mole of atoms. The calculation puts the size of the total moment at 0.00 μB per cell. The value obtained for the uncorrected formation energy is 0.360 eV/atom. The space group is P4mm (99).

Unit cell a=2.9772 b=2.9772 c=7.4053 alpha=90.00 beta=90.00 gamma=90.00
Last column: nearest neighbours and their distance in Å.
Sites, in units of the cell vectors:
Co: 0.5000 0.5000 0.8375  5 Si 2.29-2.45
Si: 0.0000 0.0000 0.9597  4 Co 2.29
Si: 0.5000 0.5000 0.1680  1 Co 2.45, 4 Si 2.61
Tl: 0.0000 0.0000 0.5349  4 Tl 2.98, 4 Co 3.07, 1 Si 3.15